Here is LaSb2As2Pd7 after structural relaxation from Alexandria via LeMat-Bulk. Energies are from PBE.

The structure belongs to space group C2/m (No. 12); the cell edges are 7.945, 5.904 and 10.784 Å and the angles 90.00°, 103.93° and 90.00°. The inequivalent atoms are La at (0.000, 0.000, 0.000), Sb at (0.136, 0.000, 0.341), As at (0.070, 0.500, 0.240), Pd at (0.000, 0.500, 0.000), Pd at (0.166, 0.000, 0.587) and Pd at (0.191, 0.246, 0.826).

As for the crystal system: monoclinic. The calculation puts the density of states at the Fermi level at 0.394 states/eV per atom. The value obtained for the total energy is -5.35 eV/atom.